Si2C | PBE | relaxed

```
9
Lattice="2.9742 0.0000 0.0000 -1.4871 2.5757 0.0000 0.0000 0.0000 14.9517" Properties=species:S:1:pos:R:3 pbc="T T T"
Si 0.0000 0.0000 1.2083
Si 0.0000 0.0000 13.7435
Si 0.0000 1.7171 8.6476
Si 0.0000 1.7171 11.1652
Si 1.4871 0.8586 3.7865
Si 1.4871 0.8586 6.3041
C 0.0000 0.0000 7.4759
C 0.0000 1.7171 13.0744
C 1.4871 0.8586 1.8773
```

Output
- excess energy over the best structure of this formula in the dataset (kcal/mol of atoms) = 1.73
- density of states at the Fermi level (states/eV/cell) = 4.0
- formation energy from raw total energies (eV/atom) = 0.42

---

SiC | PBE | relaxed

```
12
Lattice="7.4458 0.0000 0.0000 -3.7229 6.4483 0.0000 0.0000 0.0000 3.1364" Properties=species:S:1:pos:R:3 pbc="T T T"
Si -1.9306 4.2750 0.7841
Si 0.9860 2.6388 0.7841
Si 2.7783 0.4655 2.3523
Si 0.9446 5.9828 0.7841
Si 2.7369 3.8095 2.3523
Si 5.6536 2.1733 2.3523
C -0.8569 2.6342 0.7841
C -1.0132 5.8733 0.7841
C 1.8528 2.0592 2.3523
C 1.8701 4.3891 0.7841
C 4.7361 0.5750 2.3523
C 4.5798 3.8141 2.3523
```

Output
- excess energy over the best structure of this formula in the dataset (kcal/mol of atoms) = 4.63
- density of states at the Fermi level (states/eV/cell) = 0.0
- formation energy from raw total energies (eV/atom) = -0.01

---

Si2C | PBE | relaxed

```
12
Lattice="9.5298 0.0000 0.0000 0.0000 2.9403 0.0000 -1.3304 0.0000 5.4040" Properties=species:S:1:pos:R:3 pbc="T T T"
Si 0.0000 0.0000 0.0000
Si -0.6848 0.0000 3.1550
Si 1.1323 1.4701 5.3624
Si 1.9418 0.0000 2.6554
Si 4.7649 1.4701 0.0000
Si 4.0801 1.4701 3.1550
Si 5.8972 0.0000 5.3624
Si 6.7067 1.4701 2.6554
C 0.8421 1.4701 3.4245
C 1.7018 0.0000 0.7951
C 5.6070 0.0000 3.4245
C 6.4666 1.4701 0.7951
```

Output
- excess energy over the best structure of this formula in the dataset (kcal/mol of atoms) = 0.00
- density of states at the Fermi level (states/eV/cell) = 1.4
- formation energy from raw total energies (eV/atom) = 0.35

---

Si2C | PBE | relaxed

```
3
Lattice="2.9576 0.0000 0.0000 -1.4788 2.5613 0.0000 0.0000 0.0000 4.2488" Properties=species:S:1:pos:R:3 pbc="T T T"
Si 0.0000 1.7076 1.1725
Si 1.4788 0.8538 3.0763
C 0.0000 0.0000 0.0000
```

Output
- excess energy over the best structure of this formula in the dataset (kcal/mol of atoms) = 5.98
- density of states at the Fermi level (states/eV/cell) = 0.5
- formation energy from raw total energies (eV/atom) = 0.61

---

Si5C3 | PBE | relaxed

```
16
Lattice="3.3625 -5.7511 0.0000 3.3625 5.7511 0.0000 -0.0460 0.0000 5.5864" Properties=species:S:1:pos:R:3 pbc="T T T"
Si 2.8499 3.8848 4.1864
Si 1.0035 0.0000 4.1799
Si 3.8290 3.8848 1.4000
Si 2.8127 1.5737 1.3905
Si 3.8662 1.5737 4.1960
Si 2.8127 -1.5737 1.3905
Si 3.8662 -1.5737 4.1960
Si 2.8499 -3.8848 4.1864
Si 5.6754 0.0000 1.4065
Si 3.8290 -3.8848 1.4000
C 3.3625 2.7165 0.0000
C 3.3394 2.7076 2.7932
C 2.8377 0.0000 4.2008
C 3.8412 0.0000 1.3857
C 3.3394 -2.7076 2.7932
C 3.3625 -2.7165 0.0000
```

Output
- excess energy over the best structure of this formula in the dataset (kcal/mol of atoms) = 0.00
- density of states at the Fermi level (states/eV/cell) = 3.5
- formation energy from raw total energies (eV/atom) = 0.41

---

SiC2 | PBE | relaxed

```
6
Lattice="3.1455 0.0000 0.0000 0.0000 3.1455 0.0000 0.0000 0.0000 5.9950" Properties=species:S:1:pos:R:3 pbc="T T T"
Si 0.7864 0.7864 1.1382
Si 2.3591 2.3591 4.8568
C 0.7864 0.7864 2.9497
C 0.7864 2.3591 0.0000
C 2.3591 0.7864 0.0000
C 2.3591 2.3591 3.0453
```

Output
- excess energy over the best structure of this formula in the dataset (kcal/mol of atoms) = 33.71
- density of states at the Fermi level (states/eV/cell) = 2.6
- formation energy from raw total energies (eV/atom) = 1.79

---

Si2C | PBE | relaxed

```
12
Lattice="2.6778 0.0000 0.0000 0.0000 2.7124 0.0000 0.0000 0.0000 22.4540" Properties=species:S:1:pos:R:3 pbc="T T T"
Si 0.0000 0.6781 1.0618
Si 0.0000 0.6781 3.7360
Si 0.0000 2.0343 18.7180
Si 0.0000 2.0343 21.3922
Si 1.3389 0.6781 7.4910
Si 1.3389 0.6781 10.1652
Si 1.3389 2.0343 12.2888
Si 1.3389 2.0343 14.9630
C 0.0000 0.6781 15.1163
C 0.0000 2.0343 7.3377
C 1.3389 0.6781 18.5647
C 1.3389 2.0343 3.8893
```

Output
- excess energy over the best structure of this formula in the dataset (kcal/mol of atoms) = 12.16
- density of states at the Fermi level (states/eV/cell) = 4.8
- formation energy from raw total energies (eV/atom) = 0.87

---

Si5C3 | PBE | relaxed

```
16
Lattice="6.0232 0.0000 0.0000 0.0000 11.0085 0.0000 0.0000 0.0000 2.8361" Properties=species:S:1:pos:R:3 pbc="T T T"
Si 0.0000 0.0000 0.0000
Si 1.1919 5.5042 1.4180
Si 1.5058 2.7521 0.0000
Si 1.5058 8.2564 0.0000
Si 1.8197 0.0000 1.4180
Si 3.0116 5.5042 0.0000
Si 4.2035 0.0000 1.4180
Si 4.5174 2.7521 0.0000
Si 4.5174 8.2564 0.0000
Si 4.8313 5.5042 1.4180
C 0.0000 2.7328 1.4180
C 0.0000 5.5042 0.0000
C 0.0000 8.2757 1.4180
C 3.0116 0.0000 0.0000
C 3.0116 2.7715 1.4180
C 3.0116 8.2370 1.4180
```

Output
- excess energy over the best structure of this formula in the dataset (kcal/mol of atoms) = 16.84
- density of states at the Fermi level (states/eV/cell) = 5.3
- formation energy from raw total energies (eV/atom) = 1.14

---

Si2C | PBE | relaxed

```
3
Lattice="2.8918 0.0000 0.0000 -1.4459 2.5043 0.0000 0.0000 0.0000 4.8127" Properties=species:S:1:pos:R:3 pbc="T T T"
Si 0.0000 0.0000 1.2003
Si 0.0000 0.0000 3.6125
C 0.0000 1.6696 2.4064
```

Output
- excess energy over the best structure of this formula in the dataset (kcal/mol of atoms) = 10.24
- density of states at the Fermi level (states/eV/cell) = 1.6
- formation energy from raw total energies (eV/atom) = 0.79

---

Sm3SiC | PBE | relaxed

```
10
Lattice="5.7129 -2.5736 0.0000 5.7129 2.5736 0.0000 -3.0787 0.0000 7.8905" Properties=species:S:1:pos:R:3 pbc="T T T"
Sm 0.5088 0.0000 1.6456
Sm -0.1950 0.0000 5.0685
Sm 3.9105 0.0000 0.6963
Sm 4.4366 0.0000 7.1942
Sm 8.5420 0.0000 2.8220
Sm 7.8383 0.0000 6.2449
Si 2.9692 0.0000 4.4117
Si 5.3779 0.0000 3.4789
C -1.3813 0.0000 7.3201
C 9.7283 0.0000 0.5704
```

Output
- density of states at the Fermi level (states/eV/cell) = 7.6
- formation energy from raw total energies (eV/atom) = -0.29

---

Sm5Si2C | PBE | relaxed

```
16
Lattice="2.8342 -6.2020 0.0000 2.8342 6.2020 0.0000 0.0000 0.0000 13.1697" Properties=species:S:1:pos:R:3 pbc="T T T"
Sm 2.8342 5.5225 8.2197
Sm 2.8342 5.5225 11.5348
Sm 2.8342 2.5056 3.2924
Sm 2.8342 2.0356 7.9537
Sm 2.8342 2.0356 11.8008
Sm 2.8342 -2.0356 1.3688
Sm 2.8342 -2.0356 5.2160
Sm 2.8342 -2.5056 9.8773
Sm 2.8342 -5.5225 1.6349
Sm 2.8342 -5.5225 4.9500
Si 2.8342 4.0356 0.8680
Si 2.8342 4.0356 5.7168
Si 2.8342 -4.0356 7.4528
Si 2.8342 -4.0356 12.3017
C 2.8342 3.7000 9.8773
C 2.8342 -3.7000 3.2924
```

Output
- density of states at the Fermi level (states/eV/cell) = 12.8
- formation energy from raw total energies (eV/atom) = -0.18

---

SmSiC | PBE | relaxed

```
6
Lattice="3.2613 0.0000 0.0000 0.0000 5.3221 0.0000 -0.0184 0.0000 6.0268" Properties=species:S:1:pos:R:3 pbc="T T T"
Sm 0.8059 1.3305 1.8820
Sm 2.4370 3.9916 4.1448
Si 0.8061 1.3305 4.8315
Si 2.4368 3.9916 1.1954
C 0.8063 3.9916 2.2576
C 2.4366 1.3305 3.7692
```

Output
- density of states at the Fermi level (states/eV/cell) = 2.8
- formation energy from raw total energies (eV/atom) = -0.18

---

Asked for total DFT energy (no corrections) across the records above, the calculation gives -6.2670, -7.3289, -6.3423, -6.0829, -6.4416, -6.1635, -5.8151, -5.7114, -5.8983, -6.0532, -5.6391, -6.6338 eV per atom in order.